Entry 1:
{"formula": "La3Ni2Pb4", "functional": "PBE", "state": "optimized geometry", "dos_ef_per_ev_atom": 0.642, "formation_energy_ev_per_atom": -0.46, "sg": "C2/m", "dft_energy_ev_per_atom": -5.035, "lattice": [[4.469, 0.000, 1.192], [1.689, 5.527, 2.640], [-0.312, 0.802, 10.140]], "species": ["La", "La", "La", "Ni", "Ni", "Pb", "Pb", "Pb", "Pb"], "fractional_positions": [[0.374, 0.565, 0.687], [0.000, 0.000, 0.000], [0.626, 0.435, 0.313], [0.290, 0.996, 0.425], [0.710, 0.004, 0.575], [0.296, 0.310, 0.099], [0.704, 0.690, 0.901], [0.089, 0.201, 0.621], [0.911, 0.799, 0.379]]}

***

Entry 2:
{"formula": "Tb3NiRu", "functional": "PBE", "state": "optimized geometry", "dos_ef_per_ev_atom": 0.905, "formation_energy_ev_per_atom": -0.34, "sg": "P-1", "de_polymorph_kcal_per_mol_atoms": 0.000, "dft_energy_ev_per_atom": -6.132, "lattice": [[5.562, 0.554, 0.122], [-2.030, 5.280, -1.116], [-0.099, -3.706, 8.284]], "species": ["Tb", "Tb", "Tb", "Tb", "Tb", "Tb", "Ni", "Ni", "Ru", "Ru"], "fractional_positions": [[0.439, 0.820, 0.109], [0.290, 0.232, 0.534], [0.930, 0.662, 0.803], [0.070, 0.338, 0.197], [0.561, 0.180, 0.891], [0.710, 0.768, 0.466], [0.800, 0.258, 0.433], [0.200, 0.742, 0.567], [0.928, 0.776, 0.166], [0.072, 0.224, 0.834]]}

***

Entry 3:
{"formula": "Li2Zn4Au3", "functional": "PBE", "state": "optimized geometry", "dos_ef_per_ev_atom": 0.248, "formation_energy_ev_per_atom": -0.36, "sg": "C2/m", "dft_energy_ev_per_atom": -2.443, "lattice": [[-3.705, -1.606, -0.273], [3.495, -3.096, 0.781], [-0.169, -1.015, 8.244]], "species": ["Li", "Li", "Zn", "Zn", "Zn", "Zn", "Au", "Au", "Au"], "fractional_positions": [[0.336, 0.672, 0.227], [0.664, 0.328, 0.773], [0.667, 0.335, 0.102], [0.002, 0.004, 0.667], [0.998, 0.996, 0.333], [0.333, 0.665, 0.898], [0.328, 0.656, 0.579], [0.000, 0.000, 0.000], [0.672, 0.344, 0.421]]}

***

Entry 4:
{"formula": "Ta2InP", "functional": "PBE", "state": "optimized geometry", "dos_ef_per_ev_atom": 0.367, "formation_energy_ev_per_atom": 0.06, "sg": "Cm", "de_polymorph_kcal_per_mol_atoms": 8.206, "dft_energy_ev_per_atom": -7.899, "lattice": [[-2.207, 1.189, 4.696], [-4.478, -0.016, 2.879], [0.156, -3.972, 2.439]], "species": ["In", "P", "Ta", "Ta"], "fractional_positions": [[0.517, 0.517, 0.533], [0.261, 0.261, 0.187], [0.960, 0.960, 0.072], [0.762, 0.762, 0.709]]}

***

Entry 5:
{"formula": "Sr2CaAsPb", "functional": "PBE", "state": "optimized geometry", "dos_ef_per_ev_atom": 1.145, "formation_energy_ev_per_atom": -0.67, "sg": "P4/mmm", "dft_energy_ev_per_atom": -3.417, "lattice": [[-4.614, -0.297, 3.733], [-3.696, -0.591, -4.615], [0.560, -5.502, 0.256]], "species": ["Pb", "Sr", "Sr", "As", "Ca"], "fractional_positions": [[0.500, 0.500, 0.500], [0.000, 0.500, 0.000], [0.500, 0.000, 0.000], [0.000, 0.000, 0.000], [0.000, 0.000, 0.500]]}

***

Entry 6:
{"formula": "V2ZnC", "functional": "PBE", "state": "optimized geometry", "dos_ef_per_ev_atom": 0.764, "formation_energy_ev_per_atom": -0.35, "sg": "R-3m", "de_polymorph_kcal_per_mol_atoms": 0.000, "dft_energy_ev_per_atom": -7.532, "lattice": [[2.913, 0.000, 0.000], [1.456, 2.523, 0.000], [1.456, 0.841, 6.578]], "species": ["Zn", "C", "V", "V"], "fractional_positions": [[0.500, 0.500, 0.500], [0.000, 0.000, 0.000], [0.277, 0.277, 0.168], [0.723, 0.723, 0.832]]}